1.
A relaxed Tl3Tc crystal, computed with GGA-PBE.

It has space group I4/mmm (No. 139), with a = 4.4296 Å, b = 4.4296 Å, c = 9.5471 Å, α = 90.00°, β = 90.00° and γ = 90.00°. The asymmetric unit holds Tl at (0.0000, 0.0000, 0.0000), Tl at (0.0000, 0.5000, 0.2500) and Tc at (0.0000, 0.0000, 0.5000).

For the formation energy, the calculation gives 0.738 eV per atom. The excess energy over the best structure of this formula in the dataset comes out at 1.36 eV per formula unit. As for the crystal system: tetragonal. As for the energy: -29.03 eV per cell. As for the density: 12.6 g/cm³.

=====

2.
A relaxed AsPd14Au crystal, computed with GGA-PBE.

It has space group Amm2 (No. 38), with a = 9.1684 Å, b = 5.7033 Å, c = 9.5926 Å, α = 90.00°, β = 90.00° and γ = 90.00°. The asymmetric unit holds As at (0.0000, 0.0000, 0.0000), Pd at (0.0000, 0.2454, 0.7187), Pd at (0.2462, 0.2444, 0.0347), Pd at (0.2532, 0.0000, 0.2864), Pd at (0.2534, 0.0000, 0.7831), Pd at (0.5000, 0.0000, 0.1112), Pd at (0.5000, 0.0000, 0.6084), Pd at (0.5000, 0.2489, 0.8610) and Au at (0.0000, 0.0000, 0.4623).

For the formation energy, the calculation gives -0.043 eV per atom. As for the crystal system: orthorhombic. As for the energy: -162.62 eV per cell. As for the density: 11.7 g/cm³.

=====

3.
A relaxed LiTlReF6 crystal, computed with GGA-PBE.

It has space group Imma (No. 74), with a = 7.4174 Å, b = 7.6539 Å, c = 10.9968 Å, α = 90.00°, β = 90.00° and γ = 90.00°. The asymmetric unit holds Li at (0.2500, 0.2500, 0.2500), Tl at (0.0000, 0.2500, 0.5152), Re at (0.0000, 0.0000, 0.0000), F at (0.0000, 0.2500, 0.3022), F at (0.0000, 0.2500, 0.9333) and F at (0.1961, 0.0584, 0.1125).

As for the crystal system: orthorhombic. As for the energy: -189.10 eV per cell. As for the density: 5.4 g/cm³. The calculation puts the formation energy from raw total energies at -2.146 eV per atom.

=====

4.
A relaxed Pr3GaHg2 crystal, computed with GGA-PBE.

It has space group Pmmn (No. 59, origin choice 2), with a = 5.4220 Å, b = 16.2070 Å, c = 3.8174 Å, α = 90.00°, β = 90.00° and γ = 90.00°. The asymmetric unit holds Pr at (0.2500, 0.0914, 0.9996), Pr at (0.2500, 0.7500, 0.0013), Ga at (0.2500, 0.2500, 0.4988) and Hg at (0.2500, 0.5793, 0.5005).

For the formation energy, the calculation gives -0.486 eV per atom. The excess energy over the best structure of this formula in the dataset comes out at 0.03 eV per formula unit. As for the crystal system: orthorhombic. As for the energy: -41.78 eV per cell. As for the density: 8.8 g/cm³.

=====

5.
A relaxed Dy12SnRu6 crystal, computed with GGA-PBE.

It has space group Im-3 (No. 204), with a = 9.8312 Å, b = 9.8312 Å, c = 9.8312 Å, α = 90.00°, β = 90.00° and γ = 90.00°. The asymmetric unit holds Dy at (0.0000, 0.2958, 0.1945), Sn at (0.0000, 0.0000, 0.0000) and Ru at (0.0000, 0.1242, 0.5000).

For the formation energy, the calculation gives -0.333 eV per atom. As for the crystal system: cubic. As for the energy: -242.42 eV per cell. As for the density: 9.3 g/cm³.

=====

6.
A relaxed CaSiPt crystal, computed with GGA-PBE.

It has space group F-43m (No. 216), with a = 6.5165 Å, b = 6.5165 Å, c = 6.5165 Å, α = 90.00°, β = 90.00° and γ = 90.00°. The asymmetric unit holds Ca at (0.0000, 0.0000, 0.0000), Si at (0.2500, 0.2500, 0.2500) and Pt at (0.2500, 0.2500, 0.7500).

As for the crystal system: cubic. As for the energy: -50.81 eV per cell. As for the density: 6.3 g/cm³. The calculation puts the formation energy from raw total energies at 0.255 eV per atom.

=====

Which of these has the highest energy?
Tl3Tc

=====

Which value of energy does entry 6 give?
-50.81 eV per cell

=====

What is the formula in the fourth record?
Pr3GaHg2